VASP calculation (PBEsol) on a relaxed structure of Mg2Zn2Cd.

Cell: 6.9389 6.9389 3.8810 Å, 90.00 90.00 90.00°
Last column: nearest neighbours and their distance in Å.
Positions (direct):
Mg 0.1683 0.3317 0.0000  6 Zn 2.79-2.84
Mg 0.3317 0.8317 0.0000  6 Zn 2.79-2.84
Mg 0.6683 0.1683 0.0000  6 Zn 2.79-2.84
Mg 0.8317 0.6683 0.0000  6 Zn 2.79-2.84
Zn 0.1279 0.6279 0.5000  1 Zn 2.51, 2 Cd 2.73, 2 Mg 2.79
Zn 0.3721 0.1279 0.5000  1 Zn 2.51, 2 Cd 2.73, 2 Mg 2.79
Zn 0.6279 0.8721 0.5000  1 Zn 2.51, 2 Cd 2.73, 2 Mg 2.79
Zn 0.8721 0.3721 0.5000  1 Zn 2.51, 2 Cd 2.73, 2 Mg 2.79
Cd 0.0000 0.0000 0.5000  4 Zn 2.73
Cd 0.5000 0.5000 0.5000  4 Zn 2.73

Output
- Energy of formation from the pure elements: -64 meV/atom